Record 1
# Cs6H3ICl2 (PBE-GGA, relaxed)
data_Cs6H3ICl2
_space_group_name_H-M_alt 'C 1 2/m 1'
_space_group_IT_number 12
_cell_length_a 21.431
_cell_length_b 4.867
_cell_length_c 9.877
_cell_angle_alpha 90.00
_cell_angle_beta 103.79
_cell_angle_gamma 90.00
loop_
_space_group_symop_operation_xyz
'x,y,z'
'-x,-y,-z'
'-x,y,-z'
'x,-y,z'
'x+1/2,y+1/2,z'
'-x+1/2,-y+1/2,-z'
'-x+1/2,y+1/2,-z'
'x+1/2,-y+1/2,z'
loop_
_atom_site_label
_atom_site_fract_x
_atom_site_fract_y
_atom_site_fract_z
_atom_site_occupancy
Cs1 0.005 0.000 0.215 1
Cs2 0.164 0.500 0.091 1
Cs3 0.178 0.500 0.581 1
H1 0.000 0.500 0.000 1
H2 0.168 0.000 0.327 1
I1 0.000 0.500 0.500 1
Cl1 0.168 0.000 0.836 1
# Electronic total energy = -0.0983 hartree per atom
# V = 500.28 Å³/f.u.
# Magnetization = 0.15 μB per formula unit

---

Record 2
# CsTaBe2Si (PBE-GGA, relaxed)
data_CsTaBe2Si
_space_group_name_H-M_alt 'P 4/m m m'
_space_group_IT_number 123
_space_group_name_Hall '-P 4 2'
_cell_length_a 4.334
_cell_length_b 4.334
_cell_length_c 6.055
_cell_angle_alpha 90.00
_cell_angle_beta 90.00
_cell_angle_gamma 90.00
loop_
_atom_site_label
_atom_site_fract_x
_atom_site_fract_y
_atom_site_fract_z
_atom_site_occupancy
Cs1 0.000 0.000 0.000 1
Ta1 0.500 0.500 0.000 1
Be1 0.000 0.500 0.500 1
Si1 0.000 0.000 0.500 1
# Electronic total energy = -0.1168 hartree per atom
# V = 113.71 Å³/f.u.
# Uncorrected formation energy = 1.94 eV per atom
# Magnetization = 2.36 μB per formula unit

---

Record 3
# YNi2Pt2 (PBE-GGA, relaxed)
data_YNi2Pt2
_space_group_name_H-M_alt 'I 4/m m m'
_space_group_IT_number 139
_space_group_name_Hall '-I 4 2'
_cell_length_a 3.918
_cell_length_b 3.918
_cell_length_c 22.164
_cell_angle_alpha 90.00
_cell_angle_beta 90.00
_cell_angle_gamma 90.00
loop_
_atom_site_label
_atom_site_fract_x
_atom_site_fract_y
_atom_site_fract_z
_atom_site_occupancy
Y1 0.000 0.000 0.120 1
Ni1 0.000 0.000 0.428 1
Ni2 0.000 0.500 0.250 1
Pt1 0.000 0.000 0.321 1
Pt2 0.000 0.500 0.000 1
# Electronic total energy = -0.2394 hartree per atom
# Energy relative to the lowest polymorph listed for this composition = 0.0 kJ per mole of atoms
# V = 85.07 Å³/f.u.
# Magnetization = 1.28 μB per formula unit
# Formation enthalpy at 0 K = -0.494 eV per atom

---

Look up the electronic total energy of the first one. -0.0983 hartree per atom

---

What is the formula in the second record? CsTaBe2Si